[1]
DFT (PBE-GGA) results for an optimized crystal structure of Sm2Th2C3.

Values from the calculation:
Space-group type ... C2/m
E_form ... -0.211 eV/atom
Calculated total energy ... -7.63 eV per atom
Energy above the lowest structure with this stoichiometry ... 0 meV/atom

Cell: 6.5574 6.5574 6.4752 Å, 100.93 100.93 33.17°
Sites, in units of the cell vectors:
Sm1 0.1370 0.1370 0.3592
Sm2 0.8630 0.8630 0.6408
Th1 0.3756 0.3756 0.1205
Th2 0.6244 0.6244 0.8795
C1 0.0000 0.0000 0.0000
C2 0.2552 0.2552 0.7666
C3 0.7448 0.7448 0.2334

=====

[2]
DFT (PBE-GGA) results for an optimized crystal structure of Dy6Er2Zr.

Values from the calculation:
Space-group type ... P-6m2
E_form ... 0.072 eV/atom
Calculated total energy ... -4.96 eV per atom

Cell: 3.5233 3.5233 25.7236 Å, 90.00 90.00 120.00°
Sites, in units of the cell vectors:
Dy1 0.0000 0.0000 0.0670
Dy2 0.0000 0.0000 0.2853
Dy3 0.0000 0.0000 0.7147
Dy4 0.0000 0.0000 0.9330
Dy5 0.3333 0.6667 0.3990
Dy6 0.3333 0.6667 0.6010
Er1 0.3333 0.6667 0.1750
Er2 0.3333 0.6667 0.8250
Zr1 0.0000 0.0000 0.5000

=====

[3]
DFT (PBE-GGA) results for an optimized crystal structure of ReOsPt.

Values from the calculation:
Space-group type ... F-43m
E_form ... 0.515 eV/atom
Calculated total energy ... -9.39 eV per atom
Energy above the lowest structure with this stoichiometry ... 531 meV/atom

Cell: 4.2175 4.2175 4.2175 Å, 60.00 60.00 60.00°
Sites, in units of the cell vectors:
Re1 0.0000 0.0000 0.0000
Os1 0.2500 0.2500 0.2500
Pt1 0.7500 0.7500 0.7500

=====

[4]
DFT (PBE-GGA) results for an optimized crystal structure of Pr7Y12Er.

Values from the calculation:
Space-group type ... R-3
E_form ... 0.226 eV/atom
Calculated total energy ... -5.55 eV per atom
Energy above the lowest structure with this stoichiometry ... 0 meV/atom

Cell: 8.8783 8.8783 8.8783 Å, 85.82 85.82 85.82°
Sites, in units of the cell vectors:
Pr1 0.0000 0.0000 0.0000
Pr2 0.1024 0.3454 0.4186
Pr3 0.3454 0.4186 0.1024
Pr4 0.4186 0.1024 0.3454
Pr5 0.5814 0.8976 0.6546
Pr6 0.6546 0.5814 0.8976
Pr7 0.8976 0.6546 0.5814
Y1 0.0024 0.3626 0.8859
Y2 0.1141 0.9976 0.6374
Y3 0.2288 0.7499 0.3568
Y4 0.2501 0.6432 0.7712
Y5 0.3568 0.2288 0.7499
Y6 0.3626 0.8859 0.0024
Y7 0.6374 0.1141 0.9976
Y8 0.6432 0.7712 0.2501
Y9 0.7499 0.3568 0.2288
Y10 0.7712 0.2501 0.6432
Y11 0.8859 0.0024 0.3626
Y12 0.9976 0.6374 0.1141
Er1 0.5000 0.5000 0.5000

=====

[5]
DFT (PBE-GGA) results for an optimized crystal structure of Ba2YMn.

Values from the calculation:
Space-group type ... I4/mmm
E_form ... 0.602 eV/atom
Calculated total energy ... -4.27 eV per atom
Energy above the lowest structure with this stoichiometry ... 305 meV/atom

Cell: 6.7036 6.7036 6.7036 Å, 134.48 134.48 66.34°
Sites, in units of the cell vectors:
Ba1 0.2500 0.7500 0.5000
Ba2 0.7500 0.2500 0.5000
Y1 0.0000 0.0000 0.0000
Mn1 0.5000 0.5000 0.0000

=====

[6]
DFT (PBE-GGA) results for an optimized crystal structure of ScHRh3.

Values from the calculation:
Space-group type ... R-3c
Calculated total energy ... -6.64 eV per atom
Energy above the lowest structure with this stoichiometry ... 271 meV/atom

Cell: 5.0657 5.0657 5.0657 Å, 93.13 93.13 93.13°
Sites, in units of the cell vectors:
Sc1 0.0000 0.0000 0.0000
Sc2 0.5000 0.5000 0.5000
H1 0.2500 0.2500 0.2500
H2 0.7500 0.7500 0.7500
Rh1 0.0301 0.7500 0.4699
Rh2 0.2500 0.5301 0.9699
Rh3 0.4699 0.0301 0.7500
Rh4 0.5301 0.9699 0.2500
Rh5 0.7500 0.4699 0.0301
Rh6 0.9699 0.2500 0.5301